! PmSn2Hg (PBE, relaxed); values from VASP
! total moment = 0.000 μB/f.u.
! density of states at the Fermi level = 1.304 states/eV per cell
! calculated total energy = -3.76 eV/atom
! symmetry = P4/mmm (123)
! DFT formation energy = -11.39 kcal/mol of atoms
&SYSTEM
  ibrav = 0, nat = 4, ntyp = 3
/
ATOMIC_SPECIES
Pm 145.00 Pm.upf
Sn 118.71 Sn.upf
Hg 200.59 Hg.upf
ATOMIC_POSITIONS crystal
Pm 0.0000 0.0000 0.0000
Sn 0.0000 0.5000 0.5000
Sn 0.5000 0.0000 0.5000
Hg 0.5000 0.5000 0.0000
CELL_PARAMETERS angstrom
4.7787 0.0000 0.0000
0.0000 4.7787 0.0000
0.0000 0.0000 4.5420

=====

! VSeBr2 (PBE, relaxed); values from VASP
! total moment = 1.204 μB/f.u.
! ΔE_f (raw) = -0.40 eV per atom
! density of states at the Fermi level = 3.843 states/eV per cell
! calculated total energy = -4.39 eV/atom
! symmetry = I-42d (122)
&SYSTEM
  ibrav = 0, nat = 8, ntyp = 3
/
ATOMIC_SPECIES
V 50.94 V.upf
Se 78.96 Se.upf
Br 79.90 Br.upf
ATOMIC_POSITIONS crystal
V 0.0000 0.0000 0.0000
V 0.7500 0.2500 0.5000
Se 0.2500 0.7500 0.5000
Se 0.5000 0.5000 0.0000
Br 0.3750 0.2272 0.3522
Br 0.7728 0.1250 0.1478
Br 0.8750 0.0228 0.6478
Br 0.9772 0.6250 0.8522
CELL_PARAMETERS angstrom
-4.7418 4.7418 2.3871
4.7418 -4.7418 2.3871
4.7418 4.7418 -2.3871

=====

! LaP2S2 (PBE, relaxed); values from VASP
! total moment = 0.944 μB/f.u.
! ΔE_f (raw) = 0.68 eV per atom
! density of states at the Fermi level = 6.951 states/eV per cell
! calculated total energy = -4.12 eV/atom
! symmetry = P4/mmm (123)
&SYSTEM
  ibrav = 0, nat = 5, ntyp = 3
/
ATOMIC_SPECIES
La 138.91 La.upf
P 30.97 P.upf
S 32.06 S.upf
ATOMIC_POSITIONS crystal
La 0.0000 0.0000 0.0000
P 0.0000 0.0000 0.5000
P 0.5000 0.5000 0.5000
S 0.0000 0.5000 0.0000
S 0.5000 0.0000 0.0000
CELL_PARAMETERS angstrom
5.4751 0.0000 0.0000
0.0000 5.4751 0.0000
0.0000 0.0000 6.0327

=====

! BeAs5 (PBE, relaxed); values from VASP
! total moment = 0.000 μB/f.u.
! density of states at the Fermi level = 4.764 states/eV per cell
! calculated total energy = -3.69 eV/atom
! symmetry = F-43m (216)
! DFT formation energy = 18.62 kcal/mol of atoms
&SYSTEM
  ibrav = 0, nat = 6, ntyp = 2
/
ATOMIC_SPECIES
Be 9.01 Be.upf
As 74.92 As.upf
ATOMIC_POSITIONS crystal
Be 0.0000 0.0000 0.0000
As 0.3735 0.3735 0.3735
As 0.3735 0.3735 0.8796
As 0.3735 0.8796 0.3735
As 0.7500 0.7500 0.7500
As 0.8796 0.3735 0.3735
CELL_PARAMETERS angstrom
0.0000 3.8929 3.8929
3.8929 0.0000 3.8929
3.8929 3.8929 0.0000

=====

We obtain excess energy over the best structure of this formula in the dataset values of 0.0000, 0.0000, 1.3077, 0.6831 eV/atom for the records listed above, in that order.